(1)
KBaSi2 | PBE | optimized geometry

Formation energy without anion corrections   -5 meV per atom
ρ   2.3 g cm⁻³
D(E_F)   0.5575 states/eV per atom

Lattice parameters (Å, degrees): 4.8020 4.5362 7.5967 90.00 90.07 90.00
Closest atoms and distances in Å follow each position.
Space group P2/m (No. 10)
Asymmetric unit:
K  0.0000  0.0000  0.0000 (multiplicity 1)  4 Si 3.52
Ba  0.5000  0.0000  0.5000 (multiplicity 1)  8 Si 3.48
Si  0.9999  0.5000  0.3549 (multiplicity 2)  1 Si 2.20

=====

(2)
Pm2TmNi3 | PBE | optimized geometry

ρ   8.8 g cm⁻³
ΔH_f (0 K)   -1.92 eV/f.u.
D(E_F)   0.7452 states/eV per atom

Lattice parameters (Å, degrees): 3.4176 3.4176 10.2767 90.00 90.00 90.00
Closest atoms and distances in Å follow each position.
Space group P4/mmm (No. 123)
Asymmetric unit:
Pm  0.0000  0.0000  0.1712 (multiplicity 2)  8 Ni 2.99-3.02
Tm  0.0000  0.0000  0.5000 (multiplicity 1)  8 Ni 2.88
Ni  0.5000  0.5000  0.0000 (multiplicity 1)  8 Pm 2.99
Ni  0.5000  0.5000  0.3480 (multiplicity 2)  4 Tm 2.88, 4 Pm 3.02, 1 Ni 3.12

=====

(3)
PuCuBr4 | PBE | optimized geometry

Formation energy without anion corrections   -984 meV per atom
ρ   6.2 g cm⁻³
D(E_F)   2.0923 states/eV per atom

Lattice parameters (Å, degrees): 6.7378 6.7378 7.4176 90.00 90.00 90.00
Closest atoms and distances in Å follow each position.
Space group I-4 (No. 82)
Asymmetric unit:
Pu  0.0000  0.0000  0.0000 (multiplicity 2)  8 Br 2.93-3.28
Cu  0.0000  0.5000  0.7500 (multiplicity 2)  4 Br 2.47
Br  0.2134  0.7793  0.6560 (multiplicity 8)  1 Cu 2.47

=====

(4)
SrMgZn2Co | PBE | optimized geometry

ρ   3.1 g cm⁻³
ΔH_f (0 K)   6.31 eV/f.u.
D(E_F)   1.7419 states/eV per atom

Lattice parameters (Å, degrees): 5.7082 5.7082 4.9437 90.00 90.00 90.00
Closest atoms and distances in Å follow each position.
Space group P4/mmm (No. 123)
Asymmetric unit:
Sr  0.0000  0.0000  0.0000 (multiplicity 1)  2 Co 2.47
Mg  0.5000  0.5000  0.5000 (multiplicity 1)  8 Zn 3.78, 4 Co 4.04
Zn  0.0000  0.5000  0.0000 (multiplicity 2)  2 Sr 2.85
Co  0.0000  0.0000  0.5000 (multiplicity 1)  2 Sr 2.47

=====

(5)
BaSnO3 | PBE | optimized geometry

Formation energy without anion corrections   -1928 meV per atom
ρ   6.1 g cm⁻³
D(E_F)   1.7162 states/eV per atom

Lattice parameters (Å, degrees): 10.9927 10.9927 10.9927 90.00 90.00 90.00
Closest atoms and distances in Å follow each position.
Space group Fd-3m (No. 227, origin choice 2)
Asymmetric unit:
Ba  0.0000  0.0000  0.0000 (multiplicity 16)  6 O 2.71
Sn  0.0000  0.0000  0.5000 (multiplicity 16)  6 O 2.12
O  0.0776  0.3750  0.8750 (multiplicity 48)  2 Sn 2.12

=====

(6)
La5Pm6Mg2 | PBE | optimized geometry

ρ   6.0 g cm⁻³
ΔH_f (0 K)   1.46 eV/f.u.
D(E_F)   1.6178 states/eV per atom

Lattice parameters (Å, degrees): 10.8253 23.0907 3.5988 90.00 90.00 90.00
Closest atoms and distances in Å follow each position.
Space group Pbam (No. 55)
Asymmetric unit:
La  0.0000  0.0000  0.0000 (multiplicity 2)  4 La 3.56-3.60, 6 Pm 3.61-3.63
La  0.0826  0.2519  0.0000 (multiplicity 4)  4 Mg 3.26-3.27, 2 La 3.60
La  0.1717  0.5038  0.0000 (multiplicity 4)  4 La 3.56-3.72, 7 Pm 3.65-3.74
Pm  0.0165  0.3869  0.5000 (multiplicity 4)  1 Mg 3.48, 4 Pm 3.60-3.89, 6 La 3.65-3.71
Pm  0.1464  0.1171  0.5000 (multiplicity 4)  1 Mg 3.42, 2 Pm 3.60, 6 La 3.61-3.74
Pm  0.1689  0.8641  0.0000 (multiplicity 4)  2 Mg 3.45, 2 Pm 3.60, 4 La 3.63-3.82
Mg  0.1670  0.7367  0.5000 (multiplicity 4)  4 La 3.26-3.27, 4 Pm 3.42-3.48, 2 Mg 3.60

=====

(7)
CeCdPb | PBE | optimized geometry

ρ   9.2 g cm⁻³
ΔH_f (0 K)   -0.68 eV/f.u.
D(E_F)   2.1778 states/eV per atom

Lattice parameters (Å, degrees): 5.2842 5.2842 6.8488 90.00 90.00 120.00
Closest atoms and distances in Å follow each position.
Space group P6/mmm (No. 191)
Asymmetric unit:
Ce  0.0000  0.0000  0.2257 (multiplicity 2)  1 Ce 3.09, 6 Cd 3.42
Cd  0.3333  0.6667  0.0000 (multiplicity 2)  3 Cd 3.05
Pb  0.3333  0.6667  0.5000 (multiplicity 2)  3 Pb 3.05

=====

(8)
BaTbF5 | PBE | optimized geometry

Formation energy without anion corrections   -4061 meV per atom
ρ   5.9 g cm⁻³
D(E_F)   0.0000 states/eV per atom

Lattice parameters (Å, degrees): 4.4662 16.4347 5.9849 90.00 92.84 90.00
Closest atoms and distances in Å follow each position.
Space group C2/c (No. 15)
Asymmetric unit:
Ba  0.0000  0.1732  0.2500 (multiplicity 4)  8 F 2.71-2.75
Tb  0.0000  0.4263  0.2500 (multiplicity 4)  8 F 2.27-2.34
F  0.0000  0.1160  0.7500 (multiplicity 4)  2 Tb 2.34
F  0.0118  0.3163  0.0122 (multiplicity 8)  1 Tb 2.30
F  0.2238  0.4645  0.5947 (multiplicity 8)  2 Tb 2.27-2.33, 1 F 2.53

=====

D(E_F) of number 3 (PuCuBr4)?
2.0923 states/eV per atom

=====

ρ of number 7 (CeCdPb)?
9.2 g cm⁻³